The following is a GGA-PBE calculation of ZnIn7Hg6 after structural relaxation, from the Alexandria database.

POSCAR file:
```
ZnIn7Hg6
1.0
-3.3126 9.6339 5.9868
3.3126 -9.6339 5.9868
3.3126 9.6339 -5.9868
Zn In Hg
2 14 12
Cartesian
0.0000 0.0000 2.9934
0.0000 0.0000 8.9802
5.0829 0.1211 0.0000
4.1375 -5.1450 4.4338
4.1375 5.1450 -1.5530
3.3126 0.0000 2.9934
0.8249 4.4888 1.5530
4.1375 5.1450 1.5530
1.7703 9.5128 0.0000
1.5422 0.1211 5.9868
-0.8249 4.4888 4.4338
2.4876 5.1450 4.4338
0.0000 9.6339 2.9934
-0.8249 4.4888 7.5398
-0.8249 14.7789 1.5530
-1.7703 9.5128 5.9868
1.4704 -2.3257 2.2255
2.7756 2.5500 0.0000
1.8422 7.3082 -2.2255
5.1548 2.3257 2.2255
2.7756 -2.5500 5.9868
1.4704 2.3257 3.7613
1.8422 7.3082 2.2255
0.5369 12.1839 0.0000
-1.8422 7.3082 3.7613
1.4704 2.3257 8.2122
0.5369 7.0838 5.9868
1.8422 11.9596 3.7613
```

Values from the calculation:
The formation enthalpy at 0 K is 0.06 eV per atom. For the total magnetization, the calculation gives 0.0 μB/f.u. As for the density of states at the Fermi level: 0.39 states/eV per atom. As for the total DFT energy (no corrections): -1.5255 eV/atom. Its space-group type is No. 72.